First-principles (PBE) data for a relaxed Cs2Al2Hg crystal, as listed in Alexandria via LeMat-Bulk.

Computed properties:
Crystal system ... tetragonal
Formation energy from the elements ... 0.30 eV per atom

abc: 6.6626 6.6626 6.6626
angles: 109.22 109.22 109.98
With the nearest neighbours (Å) after each atom.
Element x y z (fractional)
Cs: 0.2500 0.7500 0.5000  2 Cs 3.82, 4 Al 3.92
Cs: 0.7500 0.2500 0.5000  2 Cs 3.82, 4 Al 3.92
Al: 0.1577 0.1577 0.0000  1 Al 2.41, 1 Hg 2.62
Al: 0.8423 0.8423 0.0000  1 Al 2.41, 1 Hg 2.62
Hg: 0.5000 0.5000 0.0000  2 Al 2.62

***

First-principles (PBE) data for a relaxed CsAlHg crystal, as listed in Alexandria via LeMat-Bulk.

Computed properties:
Crystal system ... tetragonal
Formation energy from the elements ... 0.02 eV per atom

abc: 9.5714 9.5714 9.5714
angles: 149.67 149.67 43.43
With the nearest neighbours (Å) after each atom.
Element x y z (fractional)
Cs: 0.1719 0.1719 0.0000  4 Al 3.90, 4 Hg 3.95
Cs: 0.8281 0.8281 0.0000  4 Al 3.90, 4 Hg 3.95
Al: 0.4195 0.4195 0.0000  1 Al 2.86, 4 Hg 2.88
Al: 0.5805 0.5805 0.0000  1 Al 2.86, 4 Hg 2.88
Hg: 0.0000 0.5000 0.5000  4 Al 2.88
Hg: 0.5000 0.0000 0.5000  4 Al 2.88

***

First-principles (PBE) data for a relaxed CsAlHg crystal, as listed in Alexandria via LeMat-Bulk.

Computed properties:
Crystal system ... triclinic
Formation energy from the elements ... -0.04 eV per atom

abc: 4.6408 5.0399 9.4782
angles: 85.13 89.88 90.00
With the nearest neighbours (Å) after each atom.
Element x y z (fractional)
Cs: 0.2484 0.2716 0.3380  3 Al 3.77-3.78, 4 Hg 3.80-4.05
Cs: 0.7516 0.7284 0.6620  3 Al 3.77-3.78, 4 Hg 3.80-4.05
Al: 0.2500 0.6484 0.9769  4 Hg 2.69-2.97, 2 Al 2.77-2.78
Al: 0.7500 0.3516 0.0231  4 Hg 2.69-2.97, 2 Al 2.77-2.78
Hg: 0.2508 0.1573 0.8653  4 Al 2.69-2.97
Hg: 0.7492 0.8427 0.1347  4 Al 2.69-2.97

***

no.,ΔE to the lowest computed polymorph (meV per atom),raw total energy (eV/atom)
1,113,-1.60
2,55,-1.61
3,0,-1.67